Below is Be3NbO at its PBEsol-relaxed geometry, with properties calculated at the meta-GGA SCAN level.

formation energy without anion corrections: -0.109 eV per atom
relative energy among the computed polymorphs: 0.0000 eV/atom

```
data_Be3NbO
_chemical_formula_sum 'Be3 Nb1 O1'
_cell_length_a 3.700
_cell_length_b 3.700
_cell_length_c 3.700
_cell_angle_alpha 90.00
_cell_angle_beta 90.00
_cell_angle_gamma 90.00
_space_group_name_H-M_alt 'P m -3 m'
_space_group_IT_number 221
_space_group_name_Hall '-P 4 2 3'
loop_
_atom_site_label
_atom_site_fract_x
_atom_site_fract_y
_atom_site_fract_z
Be1 0.000 0.000 0.500
Nb1 0.500 0.500 0.500
O1 0.000 0.000 0.000
```